Compound: MnAgO2
Source: Alexandria
Functional: PBE+U
Structure: relaxed

As for the total magnetization: 1.00 μB/atom. The value obtained for the energy is -6.090 eV/atom.

It has space group R-3m (No. 166, hexagonal axes), with a = 3.0773 Å, b = 3.0773 Å, c = 18.6148 Å, α = 90.00°, β = 90.00° and γ = 120.00°. Symmetry generates all atoms from Mn at (0.0000, 0.0000, 0.0000), Ag at (0.0000, 0.0000, 0.5000) and O at (0.0000, 0.0000, 0.3878).